(w)
VASP calculation (PBE) on an optimized crystal structure of Sr2ZrCl.

Lattice parameters (Å, degrees): 10.467 10.467 10.467 21.01 21.01 21.01
Fractional positions:
1 Zr 0.480 0.480 0.480
2 Cl 0.760 0.760 0.760
3 Sr 0.238 0.238 0.238
4 Sr 0.022 0.022 0.022

Results
Spin magnetization (μB per atom): 0.224
SG: R3m, No. 160

---

(x)
VASP calculation (PBE) on an optimized crystal structure of Sr2ZrCl.

Lattice parameters (Å, degrees): 6.857 6.857 6.857 148.34 117.66 71.61
Fractional positions:
1 Cl 0.250 0.750 0.500
2 Zr 0.750 0.250 0.500
3 Sr 0.452 0.452 0.000
4 Sr 0.048 0.048 0.000

Results
Spin magnetization (μB per atom): 0.637
SG: Immm, No. 71

---

Stability, lowest: (x)